Entry 1:
Crystalline Zr3Tc at its relaxed geometry, computed with PBE-GGA.

Output
* space group: Immm, No. 71
* energy of formation from the pure elements: -0.21 eV/atom
* final energy: -9.213 eV per atom
* M_tot: 0.00 μB/f.u.

Unit cell a=3.3692 b=4.9329 c=9.9204 alpha=90.00 beta=90.00 gamma=90.00
With the nearest neighbours (Å) after each atom.
Positions (direct):
Zr: 0.0000 0.0000 0.0000  4 Tc 2.99, 8 Zr 3.26-3.28
Zr: 0.0000 0.5000 0.2183  2 Tc 2.74, 4 Zr 3.05
Zr: 0.0000 0.5000 0.7817  2 Tc 2.74, 4 Zr 3.05
Zr: 0.5000 0.0000 0.2817  2 Tc 2.74, 4 Zr 3.05
Zr: 0.5000 0.0000 0.7183  2 Tc 2.74, 4 Zr 3.05
Zr: 0.5000 0.5000 0.5000  4 Tc 2.99, 8 Zr 3.26-3.28
Tc: 0.0000 0.0000 0.5000  8 Zr 2.74-2.99
Tc: 0.5000 0.5000 0.0000  8 Zr 2.74-2.99

***

Entry 2:
Crystalline Zr3Tc5 at its relaxed geometry, computed with PBE-GGA.

Output
* space group: Cmmm, No. 65
* energy of formation from the pure elements: -0.25 eV/atom
* final energy: -9.930 eV per atom
* M_tot: 0.00 μB/f.u.
* relative energy among the computed polymorphs: 0.000 eV per atom

Unit cell a=6.4787 b=9.1843 c=4.5590 alpha=90.00 beta=90.00 gamma=90.00
With the nearest neighbours (Å) after each atom.
Positions (direct):
Zr: 0.0000 0.0000 0.0000  8 Tc 2.81-2.83
Zr: 0.0000 0.2518 0.5000  8 Tc 2.77-2.86
Zr: 0.0000 0.7482 0.5000  8 Tc 2.77-2.86
Zr: 0.5000 0.2482 0.5000  8 Tc 2.77-2.86
Zr: 0.5000 0.5000 0.0000  8 Tc 2.81-2.83
Zr: 0.5000 0.7518 0.5000  8 Tc 2.77-2.86
Tc: 0.0000 0.5000 0.0000  8 Tc 2.76-2.81
Tc: 0.2415 0.5000 0.5000  2 Tc 2.76, 6 Zr 2.77-2.86
Tc: 0.2500 0.2500 0.0000  6 Zr 2.80-2.81, 2 Tc 2.81
Tc: 0.2500 0.7500 0.0000  6 Zr 2.80-2.81, 2 Tc 2.81
Tc: 0.2585 0.0000 0.5000  2 Tc 2.76, 6 Zr 2.77-2.86
Tc: 0.5000 0.0000 0.0000  8 Tc 2.76-2.81
Tc: 0.7415 0.0000 0.5000  2 Tc 2.76, 6 Zr 2.77-2.86
Tc: 0.7500 0.2500 0.0000  6 Zr 2.80-2.81, 2 Tc 2.81
Tc: 0.7500 0.7500 0.0000  6 Zr 2.80-2.81, 2 Tc 2.81
Tc: 0.7585 0.5000 0.5000  2 Tc 2.76, 6 Zr 2.77-2.86

***

Entry 3:
Crystalline Zr5Tc at its relaxed geometry, computed with PBE-GGA.

Output
* space group: C2/m, No. 12
* energy of formation from the pure elements: -0.13 eV/atom
* final energy: -8.979 eV per atom
* M_tot: 0.00 μB/f.u.
* relative energy among the computed polymorphs: 0.000 eV per atom

Unit cell a=11.0500 b=3.3408 c=7.3918 alpha=90.00 beta=109.51 gamma=90.00
With the nearest neighbours (Å) after each atom.
Positions (direct):
Zr: 0.0000 0.0000 0.0000  10 Zr 3.08-3.34
Zr: 0.1448 0.5000 0.3563  2 Tc 2.76, 4 Zr 3.07-3.08
Zr: 0.1670 0.5000 0.8105  2 Tc 2.94, 8 Zr 3.14-3.28
Zr: 0.3330 0.0000 0.1895  2 Tc 2.94, 8 Zr 3.14-3.28
Zr: 0.3552 0.0000 0.6437  2 Tc 2.76, 4 Zr 3.07-3.08
Zr: 0.5000 0.5000 0.0000  10 Zr 3.08-3.34
Zr: 0.6448 0.0000 0.3563  2 Tc 2.76, 4 Zr 3.07-3.08
Zr: 0.6670 0.0000 0.8105  2 Tc 2.94, 8 Zr 3.14-3.28
Zr: 0.8330 0.5000 0.1895  2 Tc 2.94, 8 Zr 3.14-3.28
Zr: 0.8552 0.5000 0.6437  2 Tc 2.76, 4 Zr 3.07-3.08
Tc: 0.0000 0.0000 0.5000  8 Zr 2.76-2.94
Tc: 0.5000 0.5000 0.5000  8 Zr 2.76-2.94

***

Look up the energy of formation from the pure elements of the second one.
-0.25 eV/atom